Record 1
## YErInRh (PBE)

Data for an optimized crystal structure of YErInRh.

symmetry = No. 216
calculated total energy = -5.859 eV per atom
ΔH_f (0 K) = -0.58 eV per atom

Cell: 5.0792 5.0792 5.0792 Å, 60.00 60.00 60.00°
Atoms (fractional coordinates):
Rh 0.2500 0.2500 0.2500
Y 0.0000 0.0000 0.0000
Er 0.5000 0.5000 0.5000
In 0.7500 0.7500 0.7500



Record 2
## TaBeCu (PBE)

Data for an optimized crystal structure of TaBeCu.

energy relative to the lowest polymorph listed for this composition = 17.8 kJ/mol of formula units
symmetry = No. 107
calculated total energy = -6.590 eV per atom
ΔH_f (0 K) = -0.03 eV per atom

Cell: 5.4005 5.4007 2.7577 Å, 75.20 75.21 29.58°
Atoms (fractional coordinates):
Be 0.9835 0.9835 0.0165
Ta 0.6566 0.6566 0.3434
Cu 0.3599 0.3599 0.6401



These records have DOS(E_F) values of 1.9, 2.5 states/eV/f.u., in the order they appear.